Compound: TmZrZn2
Source: the Alexandria database
Functional: PBE-GGA
Structure: relaxed

Cell: 3.4254 3.4254 6.8466 Å, 90.00 90.00 90.00°
Fractional coordinates of all 4 atoms:
Tm: 0.0000 0.0000 0.0000
Zr: 0.0000 0.0000 0.5000
Zn: 0.5000 0.5000 0.2657
Zn: 0.5000 0.5000 0.7343

Values from the calculation:
- Energy of formation from the pure elements: -0.29 eV/atom
- Calculated density: 8.1 g/cm3
- Total moment: 0.0 Bohr magnetons per cell